Entry 1:
Ni3PdS6, optimized geometry, DFT PBE; energy relative to the lowest polymorph listed for this composition = 0.0000 eV per atom; raw formation energy = -0.2377 eV per atom
1.0
2.955 1.706 5.190
-2.955 1.706 5.190
0.000 -3.412 5.190
Ni Pd S
3 1 6
direct
0.000 0.000 0.000
0.196 0.196 0.196
0.502 0.502 0.502
0.698 0.698 0.698
0.116 0.388 0.796
0.280 0.905 0.600
0.388 0.796 0.116
0.600 0.280 0.905
0.796 0.116 0.388
0.905 0.600 0.280

=====

Entry 2:
Ni4PdS8, optimized geometry, DFT PBE; raw formation energy = -0.2558 eV per atom
1.0
0.000 4.808 4.808
4.808 0.000 4.808
4.808 4.808 0.000
Ni Pd S
4 1 8
direct
0.377 0.377 0.377
0.377 0.377 0.869
0.377 0.869 0.377
0.869 0.377 0.377
0.000 0.000 0.000
0.140 0.140 0.140
0.140 0.140 0.580
0.140 0.580 0.140
0.165 0.612 0.612
0.580 0.140 0.140
0.612 0.165 0.612
0.612 0.612 0.165
0.612 0.612 0.612

=====

Entry 3:
NiPdS4, optimized geometry, DFT PBE; energy relative to the lowest polymorph listed for this composition = 0.0308 eV per atom; raw formation energy = -0.1709 eV per atom
1.0
6.012 0.000 0.000
0.000 3.448 0.000
-1.928 0.000 6.073
Ni Pd S
1 1 4
direct
0.000 0.000 0.000
0.500 0.500 0.000
0.215 0.500 0.193
0.252 0.000 0.797
0.748 0.000 0.203
0.785 0.500 0.807

=====

Entry 4:
NiPdS2, optimized geometry, DFT PBE; energy relative to the lowest polymorph listed for this composition = 0.0517 eV per atom; raw formation energy = -0.1802 eV per atom
1.0
4.978 0.000 0.000
0.000 11.004 0.000
-0.054 0.000 5.153
Ni Pd S
4 4 8
direct
0.000 0.034 0.250
0.000 0.966 0.750
0.500 0.466 0.750
0.500 0.534 0.250
0.000 0.261 0.750
0.000 0.739 0.250
0.500 0.239 0.250
0.500 0.761 0.750
0.242 0.390 0.042
0.242 0.610 0.542
0.258 0.110 0.958
0.258 0.890 0.458
0.742 0.110 0.542
0.742 0.890 0.042
0.758 0.390 0.458
0.758 0.610 0.958

=====

Entry 5:
Ni3PdS6, optimized geometry, DFT PBE; energy relative to the lowest polymorph listed for this composition = 0.0546 eV per atom; raw formation energy = -0.1831 eV per atom
1.0
4.140 -5.647 0.000
4.140 5.647 0.000
0.000 0.000 3.477
Ni Pd S
3 1 6
direct
0.000 0.000 0.000
0.000 0.500 0.500
0.500 0.000 0.500
0.500 0.500 0.000
0.066 0.322 0.000
0.322 0.066 0.000
0.348 0.652 0.500
0.652 0.348 0.500
0.678 0.934 0.000
0.934 0.678 0.000

=====

Entry 6:
Ni3Pd3S8, optimized geometry, DFT PBE; raw formation energy = -0.2942 eV per atom
1.0
3.446 1.990 5.729
-3.446 1.990 5.729
0.000 -3.979 5.729
Ni Pd S
3 3 8
direct
0.000 0.500 0.500
0.500 0.000 0.500
0.500 0.500 0.000
0.127 0.127 0.127
0.500 0.500 0.500
0.873 0.873 0.873
0.256 0.256 0.710
0.256 0.710 0.256
0.264 0.264 0.264
0.290 0.744 0.744
0.710 0.256 0.256
0.736 0.736 0.736
0.744 0.290 0.744
0.744 0.744 0.290

=====

Entry 7:
NiPd3S, optimized geometry, DFT PBE; energy relative to the lowest polymorph listed for this composition = 0.0000 eV per atom; raw formation energy = -0.0429 eV per atom
1.0
-3.594 3.778 2.809
3.594 -3.778 2.809
3.594 3.778 -2.809
Ni Pd S
2 6 2
direct
0.273 0.023 0.250
0.727 0.977 0.750
0.197 0.000 0.697
0.197 0.500 0.197
0.248 0.498 0.750
0.752 0.502 0.250
0.803 0.000 0.303
0.803 0.500 0.803
0.500 0.000 0.000
0.500 0.500 0.500

=====

Entry 8:
Ni2PdS, optimized geometry, DFT PBE; raw formation energy = -0.0094 eV per atom
1.0
3.355 0.000 0.000
-1.677 2.905 0.000
0.000 0.000 16.800
Ni Pd S
6 3 3
direct
0.000 0.000 0.231
0.000 0.000 0.769
0.333 0.667 0.436
0.333 0.667 0.898
0.667 0.333 0.102
0.667 0.333 0.564
0.000 0.000 0.000
0.333 0.667 0.667
0.667 0.333 0.333
0.000 0.000 0.500
0.333 0.667 0.167
0.667 0.333 0.833

=====

| no. | total magnetic moment (μB/cell) |
| --- | --- |
| 1 | 0.0 |
| 2 | 0.0 |
| 3 | 0.0 |
| 4 | 0.0 |
| 5 | 0.0 |
| 6 | 0.0 |
| 7 | 0.0 |
| 8 | 0.0 |